Record 1
DFT (PBE) results for a geometry-optimized PrDyTlSn structure.

a b c (Å): 5.452 5.452 5.452
angles (deg): 60.00 60.00 60.00
Positions (direct):
Pr1 0.000 0.000 0.000
Tl1 0.750 0.750 0.750
Sn1 0.250 0.250 0.250
Dy1 0.500 0.500 0.500

## Properties
Calculated formation energy: -0.48 eV/atom
Uncorrected energy: -17.7 eV per cell
Relative energy among the computed polymorphs: 73 meV/atom
Theoretical density: 9.08 Mg/m³



Record 2
DFT (PBE) results for a geometry-optimized PrDyTlSn structure.

a b c (Å): 4.653 4.407 6.291
angles (deg): 90.00 111.70 90.00
Positions (direct):
Pr1 0.865 0.500 0.729
Dy1 0.135 0.000 0.270
Tl1 0.411 0.000 0.821
Sn1 0.590 0.500 0.179

## Properties
Calculated formation energy: -0.55 eV/atom
Uncorrected energy: -17.9 eV per cell
Relative energy among the computed polymorphs: 0 meV/atom
Theoretical density: 8.68 Mg/m³



Record 3
DFT (PBE) results for a geometry-optimized PrDy2Zn2Sn2 structure.

a b c (Å): 4.680 4.680 9.795
angles (deg): 76.18 76.18 60.00
Positions (direct):
Pr1 0.000 0.000 0.000
Dy1 0.132 0.132 0.603
Dy2 0.868 0.868 0.397
Zn1 0.578 0.578 0.267
Zn2 0.422 0.422 0.733
Sn1 0.736 0.736 0.792
Sn2 0.264 0.264 0.208

## Properties
Calculated formation energy: -0.36 eV/atom
Uncorrected energy: -27.0 eV per cell
Theoretical density: 7.76 Mg/m³



Record 4
DFT (PBE) results for a geometry-optimized SrPr2Dy structure.

a b c (Å): 3.753 3.753 12.651
angles (deg): 81.47 81.47 60.00
Positions (direct):
Sr1 0.500 0.500 0.500
Pr1 0.077 0.077 0.770
Pr2 0.257 0.257 0.230
Dy1 0.667 0.667 0.000

## Properties
Calculated formation energy: 0.09 eV/atom
Uncorrected energy: -15.5 eV per cell
Relative energy among the computed polymorphs: 7 meV/atom
Theoretical density: 5.81 Mg/m³



Record 5
DFT (PBE) results for a geometry-optimized SrPr2Dy structure.

a b c (Å): 3.689 3.689 13.338
angles (deg): 82.05 82.05 60.00
Positions (direct):
Pr1 0.093 0.093 0.720
Pr2 0.907 0.907 0.280
Sr1 0.000 0.000 0.000
Dy1 0.500 0.500 0.500

## Properties
Calculated formation energy: 0.17 eV/atom
Uncorrected energy: -15.1 eV per cell
Relative energy among the computed polymorphs: 95 meV/atom
Theoretical density: 5.69 Mg/m³



Record 6
DFT (PBE) results for a geometry-optimized SrPrDy4 structure.

a b c (Å): 6.788 6.788 6.788
angles (deg): 60.00 60.00 60.00
Positions (direct):
Pr1 0.000 0.000 0.000
Sr1 0.250 0.250 0.250
Dy1 0.627 0.627 0.118
Dy2 0.627 0.118 0.627
Dy3 0.627 0.627 0.627
Dy4 0.118 0.627 0.627

## Properties
Calculated formation energy: 0.25 eV/atom
Uncorrected energy: -23.3 eV per cell
Theoretical density: 6.60 Mg/m³



Record 7
DFT (PBE) results for a geometry-optimized SrPr2Dy structure.

a b c (Å): 5.280 5.338 5.338
angles (deg): 90.00 90.00 90.00
Positions (direct):
Pr1 0.000 0.000 0.500
Pr2 0.000 0.500 0.000
Sr1 0.500 0.500 0.500
Dy1 0.500 0.000 0.000

## Properties
Calculated formation energy: 0.16 eV/atom
Uncorrected energy: -15.2 eV per cell
Relative energy among the computed polymorphs: 77 meV/atom
Theoretical density: 5.87 Mg/m³



Record 8
DFT (PBE) results for a geometry-optimized SrPr2Dy structure.

a b c (Å): 3.763 3.763 10.781
angles (deg): 90.00 90.00 90.00
Positions (direct):
Pr1 0.000 0.000 0.777
Pr2 0.000 0.000 0.223
Sr1 0.500 0.500 0.500
Dy1 0.500 0.500 0.000

## Properties
Calculated formation energy: 0.08 eV/atom
Uncorrected energy: -15.5 eV per cell
Relative energy among the computed polymorphs: 0 meV/atom
Theoretical density: 5.79 Mg/m³



Record 9
DFT (PBE) results for a geometry-optimized SrPr2Dy structure.

a b c (Å): 5.992 5.992 5.992
angles (deg): 60.00 60.00 60.00
Positions (direct):
Pr1 0.250 0.250 0.250
Pr2 0.750 0.750 0.750
Sr1 0.500 0.500 0.500
Dy1 0.000 0.000 0.000

## Properties
Calculated formation energy: 0.20 eV/atom
Uncorrected energy: -15.0 eV per cell
Relative energy among the computed polymorphs: 122 meV/atom
Theoretical density: 5.81 Mg/m³



Record 10
DFT (PBE) results for a geometry-optimized SrPr8Dy4 structure.

a b c (Å): 5.211 6.399 16.922
angles (deg): 108.15 81.14 65.97
Positions (direct):
Sr1 0.000 0.000 0.000
Pr1 0.453 0.782 0.312
Pr2 0.547 0.218 0.688
Pr3 0.610 0.697 0.083
Pr4 0.390 0.303 0.917
Pr5 0.929 0.530 0.612
Pr6 0.071 0.470 0.388
Pr7 0.837 0.089 0.237
Pr8 0.163 0.911 0.763
Dy1 0.311 0.840 0.537
Dy2 0.689 0.160 0.463
Dy3 0.787 0.589 0.837
Dy4 0.213 0.411 0.163

## Properties
Calculated formation energy: 0.06 eV/atom
Uncorrected energy: -57.6 eV per cell
Theoretical density: 6.68 Mg/m³



Record 11
DFT (PBE) results for a geometry-optimized Sr3PrDy2Te6 structure.

a b c (Å): 4.514 9.216 10.268
angles (deg): 104.46 102.70 90.00
Positions (direct):
Sr1 0.500 0.500 0.000
Sr2 0.836 0.168 0.672
Sr3 0.164 0.832 0.328
Pr1 0.500 0.000 0.000
Dy1 0.836 0.674 0.672
Dy2 0.164 0.326 0.328
Te1 0.333 0.905 0.666
Te2 0.673 0.569 0.345
Te3 0.667 0.095 0.334
Te4 0.005 0.250 0.010
Te5 0.995 0.750 0.990
Te6 0.327 0.431 0.655

## Properties
Uncorrected energy: -56.0 eV per cell
Raw formation energy: -1.51 eV per atom
Theoretical density: 6.16 Mg/m³



Record 12
DFT (PBE) results for a geometry-optimized Tb5Pr2Dy3 structure.

a b c (Å): 9.412 9.446 11.193
angles (deg): 124.96 124.89 68.94
Positions (direct):
Tb1 0.279 0.529 0.057
Tb2 0.721 0.471 0.943
Tb3 0.019 0.769 0.537
Tb4 0.525 0.275 0.550
Tb5 0.981 0.231 0.463
Tb6 0.475 0.725 0.450
Tb7 0.866 0.610 0.762
Tb8 0.134 0.390 0.238
Tb9 0.395 0.151 0.762
Tb10 0.605 0.849 0.238
Pr1 0.779 0.013 0.746
Pr2 0.221 0.987 0.254
Pr3 0.466 0.733 0.746
Pr4 0.534 0.267 0.254
Dy1 0.228 0.978 0.955
Dy2 0.772 0.022 0.045
Dy3 0.732 0.463 0.242
Dy4 0.268 0.537 0.758
Dy5 0.010 0.779 0.242
Dy6 0.990 0.221 0.758

## Properties
Calculated formation energy: 0.19 eV/atom
Uncorrected energy: -89.2 eV per cell
Relative energy among the computed polymorphs: 0 meV/atom
Theoretical density: 7.77 Mg/m³



Record 13
DFT (PBE) results for a geometry-optimized Tb2Pr6Dy5 structure.

a b c (Å): 3.647 11.793 20.740
angles (deg): 90.00 90.00 90.00
Positions (direct):
Tb1 0.000 0.334 0.289
Tb2 0.000 0.666 0.711
Tb3 0.000 0.834 0.211
Tb4 0.000 0.166 0.789
Pr1 0.000 0.083 0.367
Pr2 0.000 0.917 0.633
Pr3 0.000 0.583 0.133
Pr4 0.000 0.417 0.867
Pr5 0.500 0.326 0.134
Pr6 0.500 0.674 0.866
Pr7 0.500 0.826 0.366
Pr8 0.500 0.174 0.634
Pr9 0.000 0.560 0.420
Pr10 0.000 0.440 0.580
Pr11 0.000 0.060 0.080
Pr12 0.000 0.940 0.920
Dy1 0.500 0.301 0.444
Dy2 0.500 0.699 0.556
Dy3 0.500 0.801 0.056
Dy4 0.500 0.199 0.944
Dy5 0.500 0.592 0.274
Dy6 0.500 0.408 0.726
Dy7 0.500 0.092 0.226
Dy8 0.500 0.908 0.774
Dy9 0.500 0.500 0.000
Dy10 0.500 0.000 0.500

## Properties
Calculated formation energy: 0.10 eV/atom
Uncorrected energy: -119.2 eV per cell
Theoretical density: 7.36 Mg/m³